No. 1
Density functional theory data (PBE-GGA) for a relaxed structure of SiS2IN.

Calculated values
Space-group type: P4/mmm
Polymorph energy (0 for the lowest one) (eV/f.u.): 4.74

abc: 5.198 5.198 3.911
angles: 90.00 90.00 90.00
Fractional positions:
Si  0.000  0.000  0.000
S  0.000  0.500  0.500
S  0.500  0.000  0.500
I  0.500  0.500  0.500
N  0.500  0.500  0.000


No. 2
Density functional theory data (PBE-GGA) for a relaxed structure of Ce2Tl3SnS6.

Calculated values
Space-group type: C2/m
Calculated total energy (eV for the cell shown): -61.2

abc: 7.250 7.250 7.766
angles: 98.91 98.91 119.91
Fractional positions:
Ce  0.167  0.833  0.000
Ce  0.833  0.167  0.000
Tl  0.000  0.000  0.500
Tl  0.337  0.663  0.500
Tl  0.663  0.337  0.500
Sn  0.500  0.500  0.000
S  0.085  0.432  0.796
S  0.219  0.219  0.199
S  0.432  0.085  0.796
S  0.568  0.915  0.204
S  0.781  0.781  0.801
S  0.915  0.568  0.204


Question: Number 2 is which compound?
Answer: Ce2Tl3SnS6